Computed, not measured: Cd2Ge2I after structural relaxation at the GGA-PBE level of DFT.

Summary:
As for the formation energy without anion corrections: 226.0 meV/atom.

Unit cell a=8.326 b=8.326 c=3.807 alpha=90.00 beta=90.00 gamma=90.00
Fractional positions:
I 0.000 0.000 0.000
I 0.500 0.500 0.000
Ge 0.107 0.607 0.500
Ge 0.607 0.893 0.500
Ge 0.893 0.393 0.500
Ge 0.393 0.107 0.500
Cd 0.323 0.823 0.000
Cd 0.823 0.677 0.000
Cd 0.677 0.177 0.000
Cd 0.177 0.323 0.000

Computed, not measured: CrBS2 after structural relaxation at the GGA-PBE level of DFT.

Summary:
As for the formation energy without anion corrections: -21.7 meV/atom.

Unit cell a=5.008 b=5.008 c=5.658 alpha=63.73 beta=63.73 gamma=90.00
Site moments in Bohr magnetons follow the coordinates.
Fractional positions:
Cr 0.000 0.000 0.000  1.57
Cr 0.750 0.250 0.500  1.59
S 0.572 0.125 0.250  -0.03
S 0.178 0.625 0.250  -0.03
S 0.375 0.428 0.750  -0.03
S 0.875 0.822 0.750  -0.03
B 0.500 0.500 0.000  0.02
B 0.250 0.750 0.500  0.02

> Look up the formation energy without anion corrections of the first one.

226.0 meV/atom

> What is the formation energy without anion corrections in the first record?

226.0 meV/atom

> What is the formula in the second record?

CrBS2

> Look up the formation energy without anion corrections of the second one.

-21.7 meV/atom